Record 1
VASP calculation (PBE-GGA) on crystalline NaScCoAs at its relaxed geometry.

a b c (Å): 6.249 6.249 6.249
angles (deg): 90.00 90.00 90.00
Space group F-43m (No. 216)
Unique sites:
Na 0.000 0.000 0.000 [4 per cell]
Sc 0.250 0.250 0.250 [4 per cell]
Co 0.000 0.000 0.500 [4 per cell]
As 0.250 0.250 0.750 [4 per cell]

Relative energy among the computed polymorphs (meV/atom): 0

Record 2
VASP calculation (PBE-GGA) on crystalline NaScCoAs at its relaxed geometry.

a b c (Å): 6.519 6.519 6.519
angles (deg): 90.00 90.00 90.00
Space group F-43m (No. 216)
Unique sites:
Na 0.000 0.000 0.000 [4 per cell]
Sc 0.000 0.000 0.500 [4 per cell]
Co 0.250 0.250 0.750 [4 per cell]
As 0.250 0.250 0.250 [4 per cell]

Relative energy among the computed polymorphs (meV/atom): 84

Record 3
VASP calculation (PBE-GGA) on crystalline NaTlCoAs at its relaxed geometry.

a b c (Å): 6.922 6.922 6.922
angles (deg): 90.00 90.00 90.00
Space group F-43m (No. 216)
Unique sites:
Na 0.000 0.000 0.000 [4 per cell]
Tl 0.000 0.000 0.500 [4 per cell]
Co 0.250 0.250 0.750 [4 per cell]
As 0.250 0.250 0.250 [4 per cell]

Relative energy among the computed polymorphs (meV/atom): 209

Record 4
VASP calculation (PBE-GGA) on crystalline NaTlCoAs at its relaxed geometry.

a b c (Å): 6.602 6.602 6.602
angles (deg): 90.00 90.00 90.00
Space group F-43m (No. 216)
Unique sites:
Na 0.000 0.000 0.000 [4 per cell]
Tl 0.250 0.250 0.250 [4 per cell]
Co 0.000 0.000 0.500 [4 per cell]
As 0.250 0.250 0.750 [4 per cell]

Relative energy among the computed polymorphs (meV/atom): 0

Record 5
VASP calculation (PBE-GGA) on crystalline NbCo2As at its relaxed geometry.

a b c (Å): 5.967 5.967 5.967
angles (deg): 90.00 90.00 90.00
Space group F-43m (No. 216)
Unique sites:
Nb 0.000 0.000 0.000 [4 per cell]
Co 0.000 0.000 0.500 [4 per cell]
Co 0.250 0.250 0.250 [4 per cell]
As 0.250 0.250 0.750 [4 per cell]

Record 6
VASP calculation (PBE-GGA) on crystalline NbCoAs2 at its relaxed geometry.

a b c (Å): 6.290 6.290 6.290
angles (deg): 90.00 90.00 90.00
Space group F-43m (No. 216)
Unique sites:
Nb 0.000 0.000 0.000 [4 per cell]
Co 0.250 0.250 0.250 [4 per cell]
As 0.000 0.000 0.500 [4 per cell]
As 0.250 0.250 0.750 [4 per cell]

| no. | DFT total energy (eV per atom) |
| --- | --- |
| 1 | -5.042 |
| 2 | -4.958 |
| 3 | -3.356 |
| 4 | -3.565 |
| 5 | -7.230 |
| 6 | -6.367 |